CsTiGeBr2 | PBE-GGA | relaxed

Cell: 5.436 5.436 5.123 Å, 90.00 90.00 90.00°
Last column: magnetic moment on the atom in μB.
Atoms (fractional coordinates):
Cs (0.500, 0.500, 0.500)  0.01
Br (0.500, 0.000, 0.000)  0.04
Br (0.000, 0.500, 0.000)  0.04
Ge (0.000, 0.000, 0.500)  0.20
Ti (0.000, 0.000, 0.000)  0.70

Values from the calculation:
- DFT total energy: -19.8 eV for the cell shown
- Crystal system: tetragonal

=====

Cs4Tl3GeBr8 | PBE-GGA | relaxed

Cell: 9.665 9.820 10.296 Å, 121.51 117.99 90.00°
Last column: magnetic moment on the atom in μB.
Atoms (fractional coordinates):
Br (0.214, 0.700, 0.982)  0.00
Br (0.268, 0.750, 0.536)  0.01
Br (0.258, 0.273, 0.516)  0.00
Br (0.742, 0.727, 0.484)  0.00
Br (0.786, 0.300, 0.018)  0.00
Br (0.232, 0.300, 0.018)  0.00
Br (0.768, 0.700, 0.982)  0.00
Br (0.732, 0.250, 0.464)  0.01
Cs (0.500, 0.000, 0.000)  0.00
Cs (0.000, 0.000, 0.500)  0.00
Cs (0.000, 0.000, 0.000)  0.00
Cs (0.500, 0.000, 0.500)  0.00
Tl (0.500, 0.500, 0.500)  0.00
Tl (0.000, 0.500, 0.500)  0.00
Tl (0.500, 0.500, 0.000)  0.00
Ge (0.000, 0.500, 0.000)  0.37

Values from the calculation:
- DFT total energy: -46.9 eV for the cell shown
- Crystal system: monoclinic

=====

Cs3TlGe2Br9 | PBE-GGA | relaxed

Cell: 8.069 8.069 10.001 Å, 90.00 90.00 120.00°
Atoms (fractional coordinates):
Cs (0.000, 0.000, 0.000)
Cs (0.333, 0.667, 0.681)
Cs (0.667, 0.333, 0.319)
Br (0.822, 0.643, 0.687)
Br (0.178, 0.357, 0.313)
Br (0.357, 0.178, 0.687)
Br (0.500, 0.500, 0.000)
Br (0.643, 0.822, 0.313)
Br (0.178, 0.822, 0.313)
Br (0.000, 0.500, 0.000)
Br (0.500, 0.000, 0.000)
Br (0.822, 0.178, 0.687)
Ge (0.333, 0.667, 0.162)
Ge (0.667, 0.333, 0.838)
Tl (0.000, 0.000, 0.500)

Values from the calculation:
- DFT total energy: -45.9 eV for the cell shown
- Crystal system: trigonal

=====

Cs2TlGeBr5 | PBE-GGA | relaxed

Cell: 5.453 10.143 14.116 Å, 90.00 90.00 105.59°
Atoms (fractional coordinates):
Tl (0.208, 0.416, 0.040)
Tl (0.792, 0.584, 0.540)
Ge (0.468, 0.936, 0.441)
Ge (0.532, 0.064, 0.941)
Cs (0.107, 0.213, 0.693)
Cs (0.147, 0.294, 0.337)
Cs (0.853, 0.706, 0.837)
Cs (0.893, 0.787, 0.193)
Br (0.631, 0.262, 0.514)
Br (0.710, 0.421, 0.173)
Br (0.659, 0.318, 0.879)
Br (0.290, 0.579, 0.673)
Br (0.341, 0.682, 0.379)
Br (0.973, 0.945, 0.472)
Br (0.369, 0.738, 0.014)
Br (0.517, 0.034, 0.275)
Br (0.483, 0.966, 0.775)
Br (0.027, 0.055, 0.972)

Values from the calculation:
- DFT total energy: -55.5 eV for the cell shown
- Crystal system: orthorhombic

=====

Cs4Tl3GeBr12 | PBE-GGA | relaxed

Cell: 10.066 10.066 10.066 Å, 109.47 109.47 109.47°
Atoms (fractional coordinates):
Br (0.250, 0.750, 0.500)
Br (0.000, 0.764, 0.764)
Br (0.250, 0.500, 0.750)
Br (0.500, 0.750, 0.250)
Br (0.236, 0.000, 0.236)
Br (0.764, 0.764, 0.000)
Br (0.500, 0.250, 0.750)
Br (0.750, 0.500, 0.250)
Br (0.000, 0.236, 0.236)
Br (0.236, 0.236, 0.000)
Br (0.750, 0.250, 0.500)
Br (0.764, 0.000, 0.764)
Cs (0.000, 0.000, 0.500)
Cs (0.500, 0.500, 0.500)
Cs (0.500, 0.000, 0.000)
Cs (0.000, 0.500, 0.000)
Tl (0.500, 0.500, 0.000)
Tl (0.500, 0.000, 0.500)
Tl (0.000, 0.500, 0.500)
Ge (0.000, 0.000, 0.000)

Values from the calculation:
- DFT total energy: -57.2 eV for the cell shown
- Crystal system: cubic

=====

Cs4TlGe3Br12 | PBE-GGA | relaxed

Cell: 9.827 9.827 9.827 Å, 109.47 109.47 109.47°
Atoms (fractional coordinates):
Cs (0.500, 0.000, 0.000)
Cs (0.000, 0.000, 0.500)
Cs (0.000, 0.500, 0.000)
Cs (0.500, 0.500, 0.500)
Br (0.738, 0.000, 0.738)
Br (0.500, 0.750, 0.250)
Br (0.250, 0.500, 0.750)
Br (0.262, 0.000, 0.262)
Br (0.262, 0.262, 0.000)
Br (0.738, 0.738, 0.000)
Br (0.000, 0.738, 0.738)
Br (0.500, 0.250, 0.750)
Br (0.250, 0.750, 0.500)
Br (0.750, 0.250, 0.500)
Br (0.000, 0.262, 0.262)
Br (0.750, 0.500, 0.250)
Ge (0.000, 0.500, 0.500)
Ge (0.500, 0.000, 0.500)
Ge (0.500, 0.500, 0.000)
Tl (0.000, 0.000, 0.000)

Values from the calculation:
- DFT total energy: -61.7 eV for the cell shown
- Crystal system: cubic